# 1
A geometry-optimized Y4InHgS structure. Source: Alexandria, functional GGA-PBE.

Cell: 8.4146 8.4146 7.2822 Å, 90.00 90.00 128.72°
Element x y z (fractional)
Y  0.0000  0.5000  0.0000
Y  0.0000  0.5000  0.5000
Y  0.0666  0.9334  0.7500
Y  0.4245  0.5755  0.7500
Y  0.5000  0.0000  0.0000
Y  0.5000  0.0000  0.5000
Y  0.5755  0.4245  0.2500
Y  0.9334  0.0666  0.2500
In  0.3748  0.6252  0.2500
In  0.6252  0.3748  0.7500
Hg  0.1289  0.8711  0.2500
Hg  0.8711  0.1289  0.7500
S  0.2456  0.7544  0.7500
S  0.7544  0.2456  0.2500

Properties
E_form (uncorrected): -0.73 eV/atom
Space group: No. 63


# 2
A geometry-optimized HIrPt2Rh structure. Source: Alexandria, functional GGA-PBE.

Cell: 4.0142 4.0142 3.9034 Å, 90.00 90.00 90.00°
Element x y z (fractional)
H  0.0000  0.0000  0.0000
Ir  0.5000  0.5000  0.5000
Pt  0.0000  0.5000  0.0000
Pt  0.5000  0.0000  0.0000
Rh  0.0000  0.0000  0.5000

Properties
Space group: No. 123
E_tot: -6.1598 eV/atom


# 3
A geometry-optimized AcLa8Nd6 structure. Source: Alexandria, functional GGA-PBE.

Cell: 8.8287 8.8287 8.8287 Å, 66.51 66.51 66.51°
Element x y z (fractional)
Ac  0.0000  0.0000  0.0000
La  0.0821  0.6529  0.7716
La  0.2284  0.9179  0.3471
La  0.3471  0.2284  0.9179
La  0.4266  0.4266  0.4266
La  0.5734  0.5734  0.5734
La  0.6529  0.7716  0.0821
La  0.7716  0.0821  0.6529
La  0.9179  0.3471  0.2284
Nd  0.1050  0.2694  0.5554
Nd  0.2694  0.5554  0.1050
Nd  0.4446  0.8950  0.7306
Nd  0.5554  0.1050  0.2694
Nd  0.7306  0.4446  0.8950
Nd  0.8950  0.7306  0.4446

Properties
Space group: No. 148
Formation enthalpy at 0 K: 0.124 eV per atom


Calculated values (Å³/atom) of calculated volume for the records, taken in order: 28.74, 12.58, 36.99.